[1]
# CeMg2Sn3

CeMg2Sn3 after structural relaxation (PBE-GGA, Alexandria via LeMat-Bulk).

```
CeMg2Sn3
1.0
5.993 0.000 0.000
0.000 7.661 0.937
0.000 -1.038 7.648
Ce Mg Sn
2 4 6
Direct
0.250 0.329 0.671 Ce
0.750 0.671 0.329 Ce
0.000 0.161 0.161 Mg
0.500 0.161 0.161 Mg
0.000 0.839 0.839 Mg
0.500 0.839 0.839 Mg
0.750 0.159 0.841 Sn
0.750 0.244 0.471 Sn
0.250 0.471 0.244 Sn
0.750 0.529 0.756 Sn
0.250 0.756 0.529 Sn
0.250 0.841 0.159 Sn
```

Fermi-level density of states   16.1 states/eV per cell
Energy above the lowest structure with this stoichiometry   295 meV per atom
E   -43.2 eV for the cell shown


[2]
# Ce6MgSn2

Ce6MgSn2 after structural relaxation (PBE-GGA, Alexandria via LeMat-Bulk).

```
Ce6MgSn2
1.0
-1.380 -0.108 2.843
5.870 -6.547 2.601
2.086 8.827 1.348
Ce Mg Sn
6 1 2
Direct
0.500 0.342 0.342 Ce
0.500 0.658 0.658 Ce
0.500 0.000 0.658 Ce
0.500 0.658 0.000 Ce
0.500 0.342 0.000 Ce
0.500 0.000 0.342 Ce
0.000 0.000 0.000 Mg
0.000 0.333 0.667 Sn
0.000 0.667 0.333 Sn
```

Fermi-level density of states   24.0 states/eV per cell
E   -47.2 eV for the cell shown


[3]
# Ce3MgSn3

Ce3MgSn3 after structural relaxation (PBE-GGA, Alexandria via LeMat-Bulk).

```
Ce3MgSn3
1.0
6.581 0.755 0.279
-2.256 6.228 0.279
-0.392 -0.634 9.470
Ce Mg Sn
6 2 6
Direct
0.601 0.601 0.313 Ce
0.193 0.807 0.500 Ce
0.807 0.193 0.500 Ce
0.220 0.780 0.000 Ce
0.780 0.220 0.000 Ce
0.399 0.399 0.687 Ce
0.701 0.701 0.969 Mg
0.299 0.299 0.031 Mg
0.991 0.991 0.235 Sn
0.937 0.525 0.743 Sn
0.525 0.937 0.743 Sn
0.063 0.475 0.257 Sn
0.475 0.063 0.257 Sn
0.009 0.009 0.765 Sn
```

Fermi-level density of states   38.4 states/eV per cell
E   -68.7 eV for the cell shown


[4]
# Ce3MgSn2

Ce3MgSn2 after structural relaxation (PBE-GGA, Alexandria via LeMat-Bulk).

```
Ce3MgSn2
1.0
6.585 0.000 0.000
0.000 6.373 0.000
-3.292 -3.187 8.461
Ce Mg Sn
6 2 4
Direct
0.433 0.678 0.356 Ce
0.567 0.322 0.644 Ce
0.077 0.822 0.644 Ce
0.923 0.178 0.356 Ce
0.500 0.750 0.000 Ce
0.500 0.250 0.000 Ce
0.000 0.250 0.000 Mg
0.000 0.750 0.000 Mg
0.365 0.130 0.260 Sn
0.635 0.870 0.740 Sn
0.106 0.370 0.740 Sn
0.894 0.630 0.260 Sn
```

Fermi-level density of states   38.8 states/eV per cell
Energy above the lowest structure with this stoichiometry   60 meV per atom
E   -59.2 eV for the cell shown


[5]
# Ce4MgSn2

Ce4MgSn2 after structural relaxation (PBE-GGA, Alexandria via LeMat-Bulk).

```
Ce4MgSn2
1.0
-1.012 -1.725 -5.024
3.278 -3.615 -2.329
-3.321 -7.207 0.234
Ce Mg Sn
4 1 2
Direct
0.396 0.396 0.812 Ce
0.272 0.272 0.184 Ce
0.728 0.728 0.816 Ce
0.604 0.604 0.188 Ce
0.000 0.000 0.000 Mg
0.127 0.127 0.619 Sn
0.873 0.873 0.381 Sn
```

Fermi-level density of states   14.5 states/eV per cell
E   -34.6 eV for the cell shown


[6]
# Ce3MgSn5

Ce3MgSn5 after structural relaxation (PBE-GGA, Alexandria via LeMat-Bulk).

```
Ce3MgSn5
1.0
-5.876 2.349 0.917
-2.440 -7.820 4.399
3.591 7.108 4.800
Ce Mg Sn
6 2 10
Direct
0.750 0.379 0.000 Ce
0.750 0.621 0.621 Ce
0.750 0.000 0.379 Ce
0.250 0.621 0.000 Ce
0.250 0.379 0.379 Ce
0.250 0.000 0.621 Ce
0.000 0.000 0.000 Mg
0.500 0.000 0.000 Mg
0.000 0.333 0.667 Sn
0.500 0.667 0.333 Sn
0.000 0.667 0.333 Sn
0.500 0.333 0.667 Sn
0.750 0.718 0.000 Sn
0.750 0.282 0.282 Sn
0.750 0.000 0.718 Sn
0.250 0.282 0.000 Sn
0.250 0.718 0.718 Sn
0.250 0.000 0.282 Sn
```

Fermi-level density of states   26.1 states/eV per cell
E   -88.3 eV for the cell shown


[7]
# Ce3Mg7Sn4

Ce3Mg7Sn4 after structural relaxation (PBE-GGA, Alexandria via LeMat-Bulk).

```
Ce3Mg7Sn4
1.0
4.513 0.000 1.138
1.687 8.337 2.824
0.006 -0.142 9.490
Ce Mg Sn
3 7 4
Direct
0.305 0.186 0.204 Ce
0.695 0.814 0.796 Ce
0.000 0.500 0.500 Ce
0.325 0.832 0.518 Mg
0.489 0.201 0.821 Mg
0.843 0.379 0.936 Mg
0.675 0.168 0.482 Mg
0.157 0.621 0.064 Mg
0.000 0.000 0.000 Mg
0.511 0.799 0.179 Mg
0.652 0.455 0.241 Sn
0.348 0.545 0.759 Sn
0.882 0.900 0.337 Sn
0.118 0.100 0.663 Sn
```

Fermi-level density of states   25.7 states/eV per cell
E   -49.7 eV for the cell shown


[8]
# CeMg3Sn2

CeMg3Sn2 after structural relaxation (PBE-GGA, Alexandria via LeMat-Bulk).

```
CeMg3Sn2
1.0
-2.401 -3.007 -2.589
8.691 -1.133 -2.590
-2.546 -4.016 7.026
Ce Mg Sn
2 6 4
Direct
0.870 0.741 0.943 Ce
0.130 0.259 0.057 Ce
0.304 0.607 0.522 Mg
0.942 0.884 0.588 Mg
0.610 0.220 0.713 Mg
0.390 0.780 0.287 Mg
0.058 0.116 0.412 Mg
0.696 0.393 0.478 Mg
0.478 0.956 0.813 Sn
0.522 0.044 0.187 Sn
0.776 0.551 0.230 Sn
0.224 0.449 0.770 Sn
```

Fermi-level density of states   17.9 states/eV per cell
E   -40.8 eV for the cell shown


[9]
# Ce5MgSn6

Ce5MgSn6 after structural relaxation (PBE-GGA, Alexandria via LeMat-Bulk).

```
Ce5MgSn6
1.0
-2.325 2.692 -3.246
-7.910 -1.988 4.017
5.848 5.560 3.978
Mg Sn Ce
1 6 5
Direct
0.000 0.000 0.000 Mg
0.833 0.584 0.665 Sn
0.833 0.081 0.665 Sn
0.500 0.753 0.000 Sn
0.500 0.247 0.000 Sn
0.167 0.919 0.335 Sn
0.167 0.416 0.335 Sn
0.655 0.155 0.310 Ce
0.336 0.336 0.672 Ce
0.000 0.500 0.000 Ce
0.664 0.664 0.328 Ce
0.345 0.845 0.690 Ce
```

Fermi-level density of states   29.3 states/eV per cell
E   -61.8 eV for the cell shown


[10]
# Ce2MgSn

Ce2MgSn after structural relaxation (PBE-GGA, Alexandria via LeMat-Bulk).

```
Ce2MgSn
1.0
4.898 0.000 0.000
0.000 4.597 0.000
0.000 0.000 4.597
Mg Sn Ce
1 1 2
Direct
0.500 0.500 0.500 Mg
0.500 0.000 0.000 Sn
0.000 0.000 0.500 Ce
0.000 0.500 0.000 Ce
```

Fermi-level density of states   8.8 states/eV per cell
E   -18.9 eV for the cell shown


[11]
# Ce2MgSn3

Ce2MgSn3 after structural relaxation (PBE-GGA, Alexandria via LeMat-Bulk).

```
Ce2MgSn3
1.0
-1.456 4.043 -1.225
-1.992 -1.800 -3.571
-6.981 -1.157 4.477
Ce Mg Sn
2 1 3
Direct
0.500 0.000 0.673 Ce
0.000 0.500 0.327 Ce
0.500 0.500 0.000 Mg
0.500 0.000 0.289 Sn
0.000 0.500 0.711 Sn
0.000 0.000 0.000 Sn
```

Fermi-level density of states   14.0 states/eV per cell
E   -27.8 eV for the cell shown


[12]
# Ce3MgSn2

Ce3MgSn2 after structural relaxation (PBE-GGA, Alexandria via LeMat-Bulk).

```
Ce3MgSn2
1.0
-0.124 -4.368 0.993
4.537 -0.561 -1.898
0.709 1.717 7.640
Ce Mg Sn
3 1 2
Direct
0.500 0.500 0.000 Ce
0.500 0.824 0.649 Ce
0.500 0.176 0.351 Ce
0.000 0.000 0.000 Mg
0.000 0.345 0.690 Sn
0.000 0.655 0.310 Sn
```

Fermi-level density of states   17.3 states/eV per cell
Energy above the lowest structure with this stoichiometry   0 meV per atom
E   -30.0 eV for the cell shown


[13]
# Ce2MgSn4

Ce2MgSn4 after structural relaxation (PBE-GGA, Alexandria via LeMat-Bulk).

```
Ce2MgSn4
1.0
-2.606 3.842 3.514
1.418 -3.258 4.613
5.915 2.806 -3.504
Ce Mg Sn
2 1 4
Direct
0.644 0.644 0.288 Ce
0.356 0.356 0.712 Ce
0.000 0.000 0.000 Mg
0.750 0.250 0.500 Sn
0.250 0.750 0.500 Sn
0.500 0.000 0.000 Sn
0.000 0.500 0.000 Sn
```

Fermi-level density of states   10.6 states/eV per cell
E   -31.1 eV for the cell shown


[14]
# CeMg2Sn2

CeMg2Sn2 after structural relaxation (PBE-GGA, Alexandria via LeMat-Bulk).

```
CeMg2Sn2
1.0
5.019 0.000 0.000
-2.509 4.346 0.000
0.000 0.000 12.979
Ce Mg Sn
2 4 4
Direct
0.000 0.000 0.250 Ce
0.000 0.000 0.750 Ce
0.667 0.333 0.750 Mg
0.000 0.000 0.000 Mg
0.000 0.000 0.500 Mg
0.333 0.667 0.250 Mg
0.333 0.667 0.627 Sn
0.667 0.333 0.127 Sn
0.667 0.333 0.373 Sn
0.333 0.667 0.873 Sn
```

Fermi-level density of states   10.7 states/eV per cell
Energy above the lowest structure with this stoichiometry   367 meV per atom
E   -34.3 eV for the cell shown


[15]
# Ce2Mg2Sn3

Ce2Mg2Sn3 after structural relaxation (PBE-GGA, Alexandria via LeMat-Bulk).

```
Ce2Mg2Sn3
1.0
-1.303 -3.294 3.119
4.228 -0.262 -2.082
3.694 8.066 6.492
Ce Mg Sn
2 2 3
Direct
0.774 0.387 0.161 Ce
0.226 0.613 0.839 Ce
0.270 0.135 0.404 Mg
0.730 0.865 0.596 Mg
0.000 0.000 0.000 Sn
0.458 0.229 0.687 Sn
0.542 0.771 0.313 Sn
```

Fermi-level density of states   6.2 states/eV per cell
E   -29.8 eV for the cell shown


[16]
# Ce3Mg2Sn3

Ce3Mg2Sn3 after structural relaxation (PBE-GGA, Alexandria via LeMat-Bulk).

```
Ce3Mg2Sn3
1.0
6.342 0.000 0.000
0.000 7.827 -4.519
0.000 0.000 9.038
Ce Mg Sn
6 4 6
Direct
0.750 0.259 0.000 Ce
0.750 0.741 0.741 Ce
0.750 0.000 0.259 Ce
0.250 0.741 0.000 Ce
0.250 0.259 0.259 Ce
0.250 0.000 0.741 Ce
0.000 0.333 0.667 Mg
0.500 0.667 0.333 Mg
0.000 0.667 0.333 Mg
0.500 0.333 0.667 Mg
0.750 0.610 0.000 Sn
0.750 0.390 0.390 Sn
0.750 0.000 0.610 Sn
0.250 0.390 0.000 Sn
0.250 0.610 0.610 Sn
0.250 0.000 0.390 Sn
```

Fermi-level density of states   39.8 states/eV per cell
E   -72.3 eV for the cell shown


[17]
# CeMg2Sn3

CeMg2Sn3 after structural relaxation (PBE-GGA, Alexandria via LeMat-Bulk).

```
CeMg2Sn3
1.0
4.434 0.000 0.000
0.000 4.467 -1.511
0.000 0.058 7.533
Ce Mg Sn
1 2 3
Direct
0.000 0.000 0.000 Ce
0.000 0.673 0.345 Mg
0.000 0.327 0.655 Mg
0.500 0.170 0.340 Sn
0.500 0.500 0.000 Sn
0.500 0.830 0.660 Sn
```

Fermi-level density of states   6.2 states/eV per cell
Energy above the lowest structure with this stoichiometry   0 meV per atom
E   -23.4 eV for the cell shown


[18]
# Ce2Mg3Sn3

Ce2Mg3Sn3 after structural relaxation (PBE-GGA, Alexandria via LeMat-Bulk).

```
Ce2Mg3Sn3
1.0
4.812 0.000 0.000
0.000 4.701 0.000
0.000 0.000 9.005
Ce Mg Sn
2 3 3
Direct
0.000 0.000 0.743 Ce
0.000 0.000 0.257 Ce
0.500 0.500 0.752 Mg
0.500 0.500 0.248 Mg
0.500 0.000 0.000 Mg
0.500 0.000 0.500 Sn
0.000 0.500 0.000 Sn
0.000 0.500 0.500 Sn
```

Fermi-level density of states   12.0 states/eV per cell
E   -32.1 eV for the cell shown


[19]
# Ce5MgSn5

Ce5MgSn5 after structural relaxation (PBE-GGA, Alexandria via LeMat-Bulk).

```
Ce5MgSn5
1.0
5.767 0.000 0.000
-2.883 9.149 0.466
0.000 -2.678 6.029
Ce Mg Sn
5 1 5
Direct
0.681 0.363 0.182 Ce
0.661 0.321 0.661 Ce
0.000 0.000 0.500 Ce
0.339 0.679 0.339 Ce
0.319 0.637 0.818 Ce
0.000 0.000 0.000 Mg
0.840 0.680 0.076 Sn
0.840 0.680 0.604 Sn
0.500 0.000 0.000 Sn
0.160 0.320 0.396 Sn
0.160 0.320 0.924 Sn
```

Fermi-level density of states   30.4 states/eV per cell
E   -54.6 eV for the cell shown


[20]
# CeMg2Sn2

CeMg2Sn2 after structural relaxation (PBE-GGA, Alexandria via LeMat-Bulk).

```
CeMg2Sn2
1.0
-4.217 0.037 -1.559
-0.280 -4.454 0.651
-2.160 1.946 12.375
Ce Mg Sn
2 4 4
Direct
0.348 0.250 0.697 Ce
0.652 0.750 0.303 Ce
0.046 0.750 0.092 Mg
0.456 0.750 0.913 Mg
0.954 0.250 0.908 Mg
0.544 0.250 0.087 Mg
0.750 0.250 0.500 Sn
0.250 0.750 0.500 Sn
0.873 0.750 0.746 Sn
0.127 0.250 0.254 Sn
```

Fermi-level density of states   11.9 states/eV per cell
Energy above the lowest structure with this stoichiometry   0 meV per atom
E   -38.0 eV for the cell shown